No. 1
VASP calculation (PBE) on a relaxed structure of Na3Y2HfTe6.

Results
* E_form (uncorrected): -1141 meV per atom

abc: 7.4636 7.4636 8.0348
angles: 98.94 98.94 120.00
Sites, in units of the cell vectors:
1 Na 0.0000 0.0000 0.0000
2 Na 0.3281 0.6719 0.0000
3 Na 0.6719 0.3281 0.0000
4 Y 0.1659 0.8341 0.5000
5 Y 0.8341 0.1659 0.5000
6 Hf 0.5000 0.5000 0.5000
7 Te 0.1054 0.4238 0.2708
8 Te 0.2594 0.2594 0.7299
9 Te 0.4238 0.1054 0.2708
10 Te 0.5762 0.8946 0.7292
11 Te 0.7406 0.7406 0.2701
12 Te 0.8946 0.5762 0.7292

***

No. 2
VASP calculation (PBE) on a relaxed structure of Na2YHf2Te6.

Results
* E_form (uncorrected): -999 meV per atom

abc: 7.2256 7.2256 8.1186
angles: 98.25 98.25 120.30
Sites, in units of the cell vectors:
1 Na 0.1592 0.8408 0.0000
2 Na 0.8408 0.1592 0.0000
3 Y 0.0000 0.0000 0.5000
4 Hf 0.3319 0.6681 0.5000
5 Hf 0.6681 0.3319 0.5000
6 Te 0.0743 0.4218 0.7251
7 Te 0.2808 0.2808 0.2767
8 Te 0.4218 0.0743 0.7251
9 Te 0.5782 0.9257 0.2749
10 Te 0.7192 0.7192 0.7233
11 Te 0.9257 0.5782 0.2749

***

No. 3
VASP calculation (PBE) on a relaxed structure of Na3Hf2ZrTe6.

Results
* E_form (uncorrected): -854 meV per atom

abc: 7.0460 7.0460 8.2115
angles: 98.21 98.21 120.01
Sites, in units of the cell vectors:
1 Na 0.0000 0.0000 0.0000
2 Na 0.3347 0.6653 0.0000
3 Na 0.6653 0.3347 0.0000
4 Hf 0.1671 0.8329 0.5000
5 Hf 0.8329 0.1671 0.5000
6 Zr 0.5000 0.5000 0.5000
7 Te 0.0882 0.4254 0.2764
8 Te 0.2369 0.2369 0.7231
9 Te 0.4254 0.0882 0.2764
10 Te 0.5746 0.9118 0.7236
11 Te 0.7631 0.7631 0.2769
12 Te 0.9118 0.5746 0.7236

***

No. 4
VASP calculation (PBE) on a relaxed structure of Na4HfZr3Te8.

Results
* E_form (uncorrected): -889 meV per atom

abc: 9.1840 9.1840 9.1840
angles: 52.67 52.67 52.67
Sites, in units of the cell vectors:
1 Na 0.0000 0.0000 0.0000
2 Na 0.0000 0.5000 0.5000
3 Na 0.5000 0.0000 0.5000
4 Na 0.5000 0.5000 0.0000
5 Hf 0.5000 0.5000 0.5000
6 Zr 0.0000 0.0000 0.5000
7 Zr 0.0000 0.5000 0.0000
8 Zr 0.5000 0.0000 0.0000
9 Te 0.2423 0.2423 0.2423
10 Te 0.2446 0.7399 0.7399
11 Te 0.2601 0.2601 0.7554
12 Te 0.2601 0.7554 0.2601
13 Te 0.7399 0.2446 0.7399
14 Te 0.7399 0.7399 0.2446
15 Te 0.7554 0.2601 0.2601
16 Te 0.7577 0.7577 0.7577

***

No. 5
VASP calculation (PBE) on a relaxed structure of Na2Hf2ZrTe6.

Results
* E_form (uncorrected): -877 meV per atom

abc: 6.9946 6.9946 8.2547
angles: 98.12 98.12 120.02
Sites, in units of the cell vectors:
1 Na 0.1644 0.8356 0.0000
2 Na 0.8356 0.1644 0.0000
3 Hf 0.3313 0.6687 0.5000
4 Hf 0.6687 0.3313 0.5000
5 Zr 0.0000 0.0000 0.5000
6 Te 0.0776 0.4114 0.7233
7 Te 0.2669 0.2669 0.2791
8 Te 0.4114 0.0776 0.7233
9 Te 0.5886 0.9224 0.2767
10 Te 0.7331 0.7331 0.7209
11 Te 0.9224 0.5886 0.2767

***

No. 6
VASP calculation (PBE) on a relaxed structure of Na4Hf3ZrTe8.

Results
* E_form (uncorrected): -843 meV per atom

abc: 9.1694 9.1694 9.1694
angles: 52.60 52.60 52.60
Sites, in units of the cell vectors:
1 Na 0.0000 0.0000 0.0000
2 Na 0.0000 0.5000 0.5000
3 Na 0.5000 0.0000 0.5000
4 Na 0.5000 0.5000 0.0000
5 Hf 0.0000 0.0000 0.5000
6 Hf 0.0000 0.5000 0.0000
7 Hf 0.5000 0.0000 0.0000
8 Zr 0.5000 0.5000 0.5000
9 Te 0.2382 0.7427 0.7427
10 Te 0.2405 0.2405 0.2405
11 Te 0.2573 0.2573 0.7618
12 Te 0.2573 0.7618 0.2573
13 Te 0.7427 0.2382 0.7427
14 Te 0.7427 0.7427 0.2382
15 Te 0.7595 0.7595 0.7595
16 Te 0.7618 0.2573 0.2573

***

No. 7
VASP calculation (PBE) on a relaxed structure of Na3HfZr3Te8.

Results
* E_form (uncorrected): -905 meV per atom

abc: 9.2264 9.2264 9.2264
angles: 52.06 52.06 52.06
Sites, in units of the cell vectors:
1 Na 0.0000 0.5000 0.5000
2 Na 0.5000 0.0000 0.5000
3 Na 0.5000 0.5000 0.0000
4 Hf 0.5000 0.5000 0.5000
5 Zr 0.0000 0.0000 0.5000
6 Zr 0.0000 0.5000 0.0000
7 Zr 0.5000 0.0000 0.0000
8 Te 0.2415 0.7407 0.7407
9 Te 0.2420 0.2420 0.2420
10 Te 0.2593 0.2593 0.7585
11 Te 0.2593 0.7585 0.2593
12 Te 0.7407 0.2415 0.7407
13 Te 0.7407 0.7407 0.2415
14 Te 0.7580 0.7580 0.7580
15 Te 0.7585 0.2593 0.2593

***

No. 8
VASP calculation (PBE) on a relaxed structure of NaHfTh2.

Results
* ΔE_f: 1.16 eV per formula unit

abc: 12.7898 12.7898 12.7898
angles: 15.09 15.09 15.09
Sites, in units of the cell vectors:
1 Na 0.0000 0.0000 0.0000
2 Hf 0.5000 0.5000 0.5000
3 Th 0.0942 0.0942 0.0942
4 Th 0.9058 0.9058 0.9058

***

No. 9
VASP calculation (PBE) on a relaxed structure of NaHf2Ti.

Results
* ΔE_f: 3.92 eV per formula unit
* polymorph energy (0 for the lowest one): 0.336 eV per atom

abc: 10.8107 10.8107 10.8107
angles: 157.67 157.67 31.79
Sites, in units of the cell vectors:
1 Na 0.0000 0.0000 0.0000
2 Na 0.7500 0.2500 0.5000
3 Hf 0.1369 0.6250 0.0119
4 Hf 0.3750 0.3869 0.5119
5 Hf 0.6131 0.1250 0.9881
6 Hf 0.8750 0.8631 0.4881
7 Ti 0.2500 0.7500 0.5000
8 Ti 0.5000 0.5000 0.0000

***

No. 10
VASP calculation (PBE) on a relaxed structure of Na2HfTi.

Results
* ΔE_f: 4.38 eV per formula unit
* polymorph energy (0 for the lowest one): 0.000 eV per atom

abc: 6.5116 6.5116 6.5116
angles: 99.69 99.69 131.57
Sites, in units of the cell vectors:
1 Na 0.1105 0.6250 0.9855
2 Na 0.3750 0.3605 0.4855
3 Na 0.6395 0.1250 0.0145
4 Na 0.8750 0.8895 0.5145
5 Hf 0.2500 0.7500 0.5000
6 Hf 0.5000 0.5000 0.0000
7 Ti 0.0000 0.0000 0.0000
8 Ti 0.7500 0.2500 0.5000

***

No. 11
VASP calculation (PBE) on a relaxed structure of Na3HfTi.

Results
* ΔE_f: 9.78 eV per formula unit
* polymorph energy (0 for the lowest one): 0.274 eV per atom

abc: 5.7708 5.7708 5.7708
angles: 90.00 90.00 90.00
Sites, in units of the cell vectors:
1 Na 0.0000 0.0000 0.5000
2 Na 0.0000 0.5000 0.0000
3 Na 0.5000 0.0000 0.0000
4 Hf 0.0000 0.0000 0.0000
5 Ti 0.5000 0.5000 0.5000

***

We obtain total magnetization values of 0.00, 0.00, 0.00, 0.00, 0.00, 0.00, 0.00, 0.00, 0.33, 0.00, 0.63 μB/atom for the records listed above, in that order.